(1)
# GGA-PBE ZrTi2SiN, relaxed
# Magnetization, Bohr magnetons per cell: 0.000
# Mass density, g/cm3: 5.11
# ΔE_f (raw), meV per atom: -943.5
data_ZrTi2SiN
_cell_length_a 4.027
_cell_length_b 4.027
_cell_length_c 4.594
_cell_angle_alpha 90.00
_cell_angle_beta 90.00
_cell_angle_gamma 90.00
_symmetry_space_group_name_H-M 'P 4/m m m'
_symmetry_Int_Tables_number 123
_symmetry_space_group_name_Hall '-P 4 2'
loop_
_atom_site_label
_atom_site_fract_x
_atom_site_fract_y
_atom_site_fract_z
Zr1 0.000 0.000 0.000
Ti1 0.000 0.500 0.500
Si1 0.500 0.500 0.000
N1 0.000 0.000 0.500

(2)
# GGA-PBE Mn2CrTc, relaxed
# Magnetization, Bohr magnetons per cell: 0.001
# Excess energy over the best structure of this formula in the dataset, meV/atom: 4.9
# Mass density, g/cm3: 9.01
data_Mn2CrTc
_cell_length_a 2.801
_cell_length_b 2.801
_cell_length_c 6.099
_cell_angle_alpha 90.00
_cell_angle_beta 90.00
_cell_angle_gamma 90.00
_symmetry_space_group_name_H-M 'P 4/m m m'
_symmetry_Int_Tables_number 123
_symmetry_space_group_name_Hall '-P 4 2'
loop_
_atom_site_label
_atom_site_fract_x
_atom_site_fract_y
_atom_site_fract_z
Mn1 0.000 0.000 0.220
Cr1 0.500 0.500 0.000
Tc1 0.500 0.500 0.500

(3)
# GGA-PBE Ce2HgAu, relaxed
# Magnetization, Bohr magnetons per cell: 5.971
# Excess energy over the best structure of this formula in the dataset, meV/atom: 142.6
# Mass density, g/cm3: 9.57
data_Ce2HgAu
_cell_length_a 3.9765
_cell_length_b 3.9765
_cell_length_c 25.7665
_cell_angle_alpha 90.00
_cell_angle_beta 90.00
_cell_angle_gamma 120.00
_symmetry_space_group_name_H-M 'R 3 m'
_symmetry_Int_Tables_number 160
_symmetry_space_group_name_Hall 'R 3 -2"'
loop_
_atom_site_label
_atom_site_fract_x
_atom_site_fract_y
_atom_site_fract_z
Ce1 0.0000 0.0000 0.0000
Ce2 0.0000 0.0000 0.1802
Hg1 0.0000 0.0000 0.4227
Au1 0.0000 0.0000 0.5902

(4)
# GGA-PBE SiNiCl2, relaxed
# Magnetization, Bohr magnetons per cell: 0.201
# Excess energy over the best structure of this formula in the dataset, meV/atom: 746.4
# Mass density, g/cm3: 3.01
# ΔE_f (raw), meV per atom: 292.4
data_SiNiCl2
_cell_length_a 5.991
_cell_length_b 5.991
_cell_length_c 9.686
_cell_angle_alpha 90.00
_cell_angle_beta 90.00
_cell_angle_gamma 90.00
_symmetry_space_group_name_H-M 'I -4 2 d'
_symmetry_Int_Tables_number 122
_symmetry_space_group_name_Hall 'I -4 2bw'
loop_
_atom_site_label
_atom_site_fract_x
_atom_site_fract_y
_atom_site_fract_z
Si1 0.000 0.000 0.000
Ni1 0.000 0.000 0.500
Cl1 0.193 0.250 0.625

(5)
# GGA-PBE Pr2WC, relaxed
# E, eV/atom: -6.88
# Magnetization, Bohr magnetons per cell: 0.203
# Mass density, g/cm3: 8.71
data_Pr2WC
_cell_length_a 3.4192
_cell_length_b 3.4192
_cell_length_c 26.9744
_cell_angle_alpha 90.00
_cell_angle_beta 90.00
_cell_angle_gamma 120.00
_symmetry_space_group_name_H-M 'R -3 m'
_symmetry_Int_Tables_number 166
_symmetry_space_group_name_Hall '-R 3 2"'
loop_
_atom_site_label
_atom_site_fract_x
_atom_site_fract_y
_atom_site_fract_z
Pr1 0.0000 0.0000 0.1109
W1 0.0000 0.0000 0.0000
C1 0.0000 0.0000 0.5000

(6)
# GGA-PBE OsRuPt2, relaxed
# Magnetization, Bohr magnetons per cell: 0.003
# Excess energy over the best structure of this formula in the dataset, meV/atom: 147.1
# Mass density, g/cm3: 19.08
data_OsRuPt2
_cell_length_a 9.110
_cell_length_b 2.752
_cell_length_c 4.803
_cell_angle_alpha 90.00
_cell_angle_beta 99.92
_cell_angle_gamma 90.00
_symmetry_space_group_name_H-M 'C 1 2/m 1'
_symmetry_Int_Tables_number 12
loop_
_symmetry_equiv_pos_as_xyz
'x,y,z'
'-x,-y,-z'
'-x,y,-z'
'x,-y,z'
'x+1/2,y+1/2,z'
'-x+1/2,-y+1/2,-z'
'-x+1/2,y+1/2,-z'
'x+1/2,-y+1/2,z'
loop_
_atom_site_label
_atom_site_fract_x
_atom_site_fract_y
_atom_site_fract_z
Os1 0.000 0.000 0.000
Ru1 0.000 0.500 0.500
Pt1 0.249 0.500 0.248